Mn3Al2Ge3O12: relaxed, GGA+U.

symmetry	Ia-3d (230)
energy	-7.201	eV per atom
total magnetic moment	15.0	μB/f.u.

abc: 10.4228 10.4228 10.4228
angles: 109.47 109.47 109.47
With the nearest neighbours (Å) after each atom.
Element x y z (fractional)
Mn 0.1250 0.2500 0.3750  8 O 2.29-2.46
Mn 0.1250 0.3750 0.7500  8 O 2.29-2.46
Mn 0.2500 0.3750 0.1250  8 O 2.29-2.46
Mn 0.2500 0.8750 0.6250  8 O 2.29-2.46
Mn 0.3750 0.1250 0.2500  8 O 2.29-2.46
Mn 0.3750 0.7500 0.1250  8 O 2.29-2.46
Mn 0.6250 0.2500 0.8750  8 O 2.29-2.46
Mn 0.6250 0.8750 0.7500  8 O 2.29-2.46
Mn 0.7500 0.1250 0.3750  8 O 2.29-2.46
Mn 0.7500 0.6250 0.8750  8 O 2.29-2.46
Mn 0.8750 0.6250 0.2500  8 O 2.29-2.46
Mn 0.8750 0.7500 0.6250  8 O 2.29-2.46
Al 0.0000 0.0000 0.0000  6 O 1.92
Al 0.0000 0.0000 0.5000  6 O 1.92
Al 0.0000 0.5000 0.0000  6 O 1.92
Al 0.0000 0.5000 0.5000  6 O 1.92
Al 0.5000 0.0000 0.0000  6 O 1.92
Al 0.5000 0.0000 0.5000  6 O 1.92
Al 0.5000 0.5000 0.0000  6 O 1.92
Al 0.5000 0.5000 0.5000  6 O 1.92
Ge 0.1250 0.7500 0.8750  4 O 1.78
Ge 0.1250 0.8750 0.2500  4 O 1.78
Ge 0.2500 0.1250 0.8750  4 O 1.78
Ge 0.2500 0.6250 0.3750  4 O 1.78
Ge 0.3750 0.2500 0.6250  4 O 1.78
Ge 0.3750 0.6250 0.7500  4 O 1.78
Ge 0.6250 0.3750 0.2500  4 O 1.78
Ge 0.6250 0.7500 0.3750  4 O 1.78
Ge 0.7500 0.3750 0.6250  4 O 1.78
Ge 0.7500 0.8750 0.1250  4 O 1.78
Ge 0.8750 0.1250 0.7500  4 O 1.78
Ge 0.8750 0.2500 0.1250  4 O 1.78
O 0.0202 0.1984 0.1201  1 Ge 1.78, 1 Al 1.92
O 0.0202 0.3218 0.9002  1 Ge 1.78, 1 Al 1.92
O 0.0784 0.6984 0.6782  1 Ge 1.78, 1 Al 1.92
O 0.0784 0.8799 0.4002  1 Ge 1.78, 1 Al 1.92
O 0.0998 0.6201 0.4216  1 Ge 1.78, 1 Al 1.92
O 0.0998 0.9798 0.6782  1 Ge 1.78, 1 Al 1.92
O 0.1201 0.0202 0.1984  1 Ge 1.78, 1 Al 1.92
O 0.1201 0.5998 0.9216  1 Ge 1.78, 1 Al 1.92
O 0.1782 0.1984 0.5784  1 Ge 1.78, 1 Al 1.92
O 0.1782 0.4798 0.5998  1 Ge 1.78, 1 Al 1.92
O 0.1984 0.1201 0.0202  1 Ge 1.78, 1 Al 1.92
O 0.1984 0.5784 0.1782  1 Ge 1.78, 1 Al 1.92
O 0.3016 0.3218 0.9216  1 Ge 1.78, 1 Al 1.92
O 0.3016 0.4798 0.3799  1 Ge 1.78, 1 Al 1.92
O 0.3218 0.9002 0.0202  1 Ge 1.78, 1 Al 1.92
O 0.3218 0.9216 0.3016  1 Ge 1.78, 1 Al 1.92
O 0.3799 0.3016 0.4798  1 Ge 1.78, 1 Al 1.92
O 0.3799 0.5784 0.9002  1 Ge 1.78, 1 Al 1.92
O 0.4002 0.0784 0.8799  1 Ge 1.78, 1 Al 1.92
O 0.4002 0.8218 0.5202  1 Ge 1.78, 1 Al 1.92
O 0.4216 0.0998 0.6201  1 Ge 1.78, 1 Al 1.92
O 0.4216 0.8218 0.8016  1 Ge 1.78, 1 Al 1.92
O 0.4798 0.3799 0.3016  1 Ge 1.78, 1 Al 1.92
O 0.4798 0.5998 0.1782  1 Ge 1.78, 1 Al 1.92
O 0.5202 0.4002 0.8218  1 Ge 1.78, 1 Al 1.92
O 0.5202 0.6201 0.6984  1 Ge 1.78, 1 Al 1.92
O 0.5784 0.1782 0.1984  1 Ge 1.78, 1 Al 1.92
O 0.5784 0.9002 0.3799  1 Ge 1.78, 1 Al 1.92
O 0.5998 0.1782 0.4798  1 Ge 1.78, 1 Al 1.92
O 0.5998 0.9216 0.1201  1 Ge 1.78, 1 Al 1.92
O 0.6201 0.4216 0.0998  1 Ge 1.78, 1 Al 1.92
O 0.6201 0.6984 0.5202  1 Ge 1.78, 1 Al 1.92
O 0.6782 0.0784 0.6984  1 Ge 1.78, 1 Al 1.92
O 0.6782 0.0998 0.9798  1 Ge 1.78, 1 Al 1.92
O 0.6984 0.5202 0.6201  1 Ge 1.78, 1 Al 1.92
O 0.6984 0.6782 0.0784  1 Ge 1.78, 1 Al 1.92
O 0.8016 0.4216 0.8218  1 Ge 1.78, 1 Al 1.92
O 0.8016 0.8799 0.9798  1 Ge 1.78, 1 Al 1.92
O 0.8218 0.5202 0.4002  1 Ge 1.78, 1 Al 1.92
O 0.8218 0.8016 0.4216  1 Ge 1.78, 1 Al 1.92
O 0.8799 0.4002 0.0784  1 Ge 1.78, 1 Al 1.92
O 0.8799 0.9798 0.8016  1 Ge 1.78, 1 Al 1.92
O 0.9002 0.0202 0.3218  1 Ge 1.78, 1 Al 1.92
O 0.9002 0.3799 0.5784  1 Ge 1.78, 1 Al 1.92
O 0.9216 0.1201 0.5998  1 Ge 1.78, 1 Al 1.92
O 0.9216 0.3016 0.3218  1 Ge 1.78, 1 Al 1.92
O 0.9798 0.6782 0.0998  1 Ge 1.78, 1 Al 1.92
O 0.9798 0.8016 0.8799  1 Ge 1.78, 1 Al 1.92